Record 1
3
Lattice="-1.7112 1.7112 7.7731 1.7112 -1.7112 7.7731 1.7112 1.7112 -7.7731" Properties=species:S:1:pos:R:3 comment="Na2Mg, relaxed, DFT PBEsol" spacegroup="I4/mmm (139)" dos_at_fermi_per_ev_cell=1.60 energy_ev_per_atom=-1.417 e_form_kj_per_mol_fu=26 magnetic_moment_mub_per_cell=0.00 pbc="T T T"
Na 0.0000 0.0000 2.4349
Na 0.0000 0.0000 13.1114
Mg 0.0000 0.0000 7.7731

Record 2
24
Lattice="10.0375 0.0000 0.0000 -5.0188 8.6928 0.0000 0.0000 0.0000 6.1078" Properties=species:S:1:pos:R:3 comment="La3BeInS7, relaxed, DFT PBEsol" spacegroup="P6_3 (173)" energy_ev_per_atom=-6.107 magnetic_moment_mub_per_cell=0.00 formation_energy_uncorrected_ev_per_atom=-1.63 pbc="T T T"
La -0.5312 3.4142 0.0000
La -1.7964 7.4457 0.0000
La 2.6912 2.1672 3.0539
La 2.3276 6.5256 0.0000
La 6.8151 1.2471 3.0539
La 5.5500 5.2785 3.0539
Be 0.0000 5.7952 2.5049
Be 5.0188 2.8976 5.5588
In 0.0000 0.0000 1.7371
In 0.0000 0.0000 4.7910
S -0.3181 2.1044 3.3090
S -1.8523 5.1166 1.7207
S -3.0372 7.9160 3.3090
S 1.6634 1.3277 0.2551
S 0.0000 5.7952 4.6383
S 1.5138 4.5303 1.7207
S 0.3385 7.7386 1.7207
S 4.6803 0.9542 4.7746
S 3.5050 4.1624 4.7746
S 5.0188 2.8976 1.5844
S 3.3554 7.3651 3.3090
S 8.0560 0.7767 0.2551
S 6.8711 3.5761 4.7746
S 5.3369 6.5884 0.2551

Record 3
4
Lattice="2.7297 0.0000 0.0000 0.0000 5.0742 0.0000 -0.0177 0.0000 5.4090" Properties=species:S:1:pos:R:3 comment="Ca2CrW, relaxed, DFT PBEsol" spacegroup="P2/m (10)" dos_at_fermi_per_ev_cell=3.19 energy_ev_per_atom=-5.937 e_form_kj_per_mol_fu=441 magnetic_moment_mub_per_cell=0.00 pbc="T T T"
Ca -0.0027 0.0000 1.3643
Ca 2.7148 0.0000 4.0447
Cr 1.3560 2.5371 2.7045
W 1.3649 2.5371 0.0000

- Number 3 is which compound?
  Ca2CrW

- Which formula does entry 3 have?
  Ca2CrW